Record 1
This record from the Open Quantum Materials Database describes an optimized crystal structure of LiYSiNi. The functional is GGA-PBE.

The structure in POSCAR format:
```
LiYSiNi
1.0
0.0000 3.1618 3.1618
3.1618 0.0000 3.1618
3.1618 3.1618 0.0000
Li Y Si Ni
1 1 1 1
Cartesian
0.0000 0.0000 0.0000
4.7427 4.7427 4.7427
3.1618 3.1618 3.1618
1.5809 1.5809 1.5809
```

Output
Size of the total moment   0.00 μB per atom
Crystal system   cubic
Excess energy over the best structure of this formula in the dataset   182.1 meV/atom

Record 2
This record from the Open Quantum Materials Database describes an optimized crystal structure of FeReSbMo. The functional is GGA-PBE.

The structure in POSCAR format:
```
FeReSbMo
1.0
0.0000 3.1466 3.1466
3.1466 0.0000 3.1466
3.1466 3.1466 0.0000
Fe Re Sb Mo
1 1 1 1
Cartesian
0.0000 0.0000 0.0000
3.1466 3.1466 3.1466
4.7200 4.7200 4.7200
1.5733 1.5733 1.5733
```

Output
Size of the total moment   0.60 μB per atom
Crystal system   cubic
Excess energy over the best structure of this formula in the dataset   0.0 meV/atom

Record 3
This record from the Open Quantum Materials Database describes an optimized crystal structure of ReN2. The functional is GGA-PBE.

The structure in POSCAR format:
```
ReN2
1.0
3.4094 -1.4103 0.0000
3.4094 1.4103 0.0000
-0.6159 0.0000 5.7022
Re N
2 4
Cartesian
1.0494 0.0000 1.3156
5.1535 0.0000 4.3866
0.3314 0.0000 4.9299
2.4234 0.0000 3.0151
3.7796 0.0000 2.6872
5.8715 0.0000 0.7723
```

Output
Size of the total moment   0.00 μB per atom
Crystal system   monoclinic
VASP energy   -9.50 eV/atom

Record 4
This record from the Open Quantum Materials Database describes an optimized crystal structure of Er2TmGa3NiSn2. The functional is GGA-PBE.

The structure in POSCAR format:
```
Er2TmGa3NiSn2
1.0
4.2191 0.0000 0.0000
0.0000 6.2566 3.6224
0.0000 -6.2566 3.6224
Er Tm Ga Ni Sn
2 1 3 1 2
Cartesian
0.0000 -3.8883 3.6224
0.0000 3.8883 3.6224
0.0000 0.0000 4.1072
2.1096 -1.3815 2.1731
2.1096 1.3815 2.1731
2.1096 0.0000 7.0246
0.0000 0.0000 1.3831
2.1096 -2.0777 4.9941
2.1096 2.0777 4.9941
```

Output
Size of the total moment   0.00 μB per atom
Crystal system   orthorhombic
VASP energy   -4.62 eV/atom

Record 5
This record from the Open Quantum Materials Database describes an optimized crystal structure of Mg2Zn. The functional is GGA-PBE.

The structure in POSCAR format:
```
Mg2Zn
1.0
4.6493 -2.5444 0.0000
4.6493 2.5444 0.0000
0.0000 0.0000 4.8721
Mg Zn
4 2
Cartesian
3.1800 1.5796 3.6541
6.1186 1.5796 3.6541
3.1800 -1.5796 1.2180
6.1186 -1.5796 1.2180
4.6493 0.8954 1.2180
4.6493 -0.8954 3.6541
```

Output
Crystal system   orthorhombic
VASP energy   -1.49 eV/atom

Record 6
This record from the Open Quantum Materials Database describes an optimized crystal structure of TmScNO. The functional is GGA-PBE.

The structure in POSCAR format:
```
TmScNO
1.0
7.6862 0.0000 0.0000
0.0000 6.2603 0.0000
0.0000 0.0000 4.7240
Tm Sc N O
4 4 4 4
Cartesian
1.0224 0.4793 1.1810
1.0224 2.6508 3.5430
6.6638 3.6095 1.1810
6.6638 5.7810 3.5430
2.9420 3.5904 1.1810
2.9420 5.8000 3.5430
4.7442 0.4603 1.1810
4.7442 2.6699 3.5430
1.0422 0.3965 3.5430
1.0422 2.7336 1.1810
6.6440 3.5266 3.5430
6.6440 5.8638 1.1810
2.9210 3.7383 3.5430
2.9210 5.6522 1.1810
4.7652 0.6081 3.5430
4.7652 2.5220 1.1810
```

Output
Size of the total moment   0.00 μB per atom
Crystal system   orthorhombic
Excess energy over the best structure of this formula in the dataset   133.4 meV/atom

Record 7
This record from the Open Quantum Materials Database describes an optimized crystal structure of BaLiCuP2. The functional is GGA-PBE.

The structure in POSCAR format:
```
BaLiCuP2
1.0
-2.2379 2.2379 6.0755
2.2379 -2.2379 6.0755
2.2379 2.2379 -6.0755
Ba Li Cu P
1 1 1 2
Cartesian
0.0000 0.0000 0.0000
0.0000 2.2379 3.0377
0.0000 0.0000 6.0755
2.2379 0.0000 1.9743
2.2379 0.0000 4.1012
```

Output
Crystal system   tetragonal
VASP energy   -3.70 eV/atom

Record 8
This record from the Open Quantum Materials Database describes an optimized crystal structure of Zr4SnSbC2. The functional is GGA-PBE.

The structure in POSCAR format:
```
Zr4SnSbC2
1.0
3.4111 0.0000 0.0000
-1.7055 2.9541 0.0000
0.0000 0.0000 14.4356
Zr Sn Sb C
4 1 1 2
Cartesian
0.0000 0.0000 2.3116
0.0000 0.0000 12.1239
0.0000 1.9694 4.8000
0.0000 1.9694 9.6356
0.0000 0.0000 7.2178
0.0000 1.9694 0.0000
1.7055 0.9847 3.5659
1.7055 0.9847 10.8696
```

Output
Size of the total moment   0.00 μB per atom
Crystal system   hexagonal
VASP energy   -8.38 eV/atom

Record 9
This record from the Open Quantum Materials Database describes an optimized crystal structure of AgMoPtAu. The functional is GGA-PBE.

The structure in POSCAR format:
```
AgMoPtAu
1.0
0.0000 3.2180 3.2180
3.2180 0.0000 3.2180
3.2180 3.2180 0.0000
Ag Mo Pt Au
1 1 1 1
Cartesian
0.0000 0.0000 0.0000
4.8270 4.8270 4.8270
3.2180 3.2180 3.2180
1.6090 1.6090 1.6090
```

Output
Size of the total moment   0.00 μB per atom
Crystal system   cubic
Excess energy over the best structure of this formula in the dataset   29.7 meV/atom

Record 10
This record from the Open Quantum Materials Database describes an optimized crystal structure of GdYCu2Sn. The functional is GGA-PBE.

The structure in POSCAR format:
```
GdYCu2Sn
1.0
3.6447 0.0000 0.0000
0.0000 2.1177 6.9339
0.0000 -2.1177 6.9339
Gd Y Cu Sn
1 1 2 1
Cartesian
0.0000 0.0000 0.0000
0.0000 0.0000 3.6158
1.8224 0.0000 5.9426
1.8224 0.0000 11.5384
1.8224 0.0000 8.7562
```

Output
Size of the total moment   0.01 μB per atom
Crystal system   orthorhombic
VASP energy   -4.98 eV/atom

Record 11
This record from the Open Quantum Materials Database describes an optimized crystal structure of ZnCuOs2. The functional is GGA-PBE.

The structure in POSCAR format:
```
ZnCuOs2
1.0
0.0000 3.0192 3.0192
3.0192 0.0000 3.0192
3.0192 3.0192 0.0000
Zn Cu Os
1 1 2
Cartesian
0.0000 0.0000 0.0000
4.5288 4.5288 4.5288
1.5096 1.5096 1.5096
3.0192 3.0192 3.0192
```

Output
Size of the total moment   0.00 μB per atom
Crystal system   cubic
VASP energy   -6.53 eV/atom

Record 12
This record from the Open Quantum Materials Database describes an optimized crystal structure of Dy2YGa4Pd. The functional is GGA-PBE.

The structure in POSCAR format:
```
Dy2YGa4Pd
1.0
6.6274 0.0000 0.0000
0.0000 1.9087 6.7884
0.0000 -1.9087 6.7884
Dy Y Ga Pd
2 1 4 1
Cartesian
0.0000 0.0000 0.0000
3.3137 0.0000 6.3310
0.0000 0.0000 3.7018
1.5639 0.0000 8.6331
2.0634 0.0000 11.2172
4.5640 0.0000 11.2172
5.0634 0.0000 8.6331
3.3137 0.0000 2.6401
```

Output
Size of the total moment   0.00 μB per atom
Crystal system   orthorhombic
VASP energy   -4.70 eV/atom

Record 13
This record from the Open Quantum Materials Database describes an optimized crystal structure of ZrCo2Te. The functional is GGA-PBE.

The structure in POSCAR format:
```
ZrCo2Te
1.0
0.0000 3.2045 3.2045
3.2045 0.0000 3.2045
3.2045 3.2045 0.0000
Zr Co Te
1 2 1
Cartesian
0.0000 0.0000 0.0000
1.6022 1.6022 1.6022
3.2045 3.2045 3.2045
4.8067 4.8067 4.8067
```

Output
Size of the total moment   0.44 μB per atom
Crystal system   cubic
VASP energy   -6.28 eV/atom

Record 14
This record from the Open Quantum Materials Database describes an optimized crystal structure of Zr3As4. The functional is GGA-PBE.

The structure in POSCAR format:
```
Zr3As4
1.0
7.3145 -1.8772 0.0000
7.3145 1.8772 0.0000
-2.9841 0.0000 5.9739
Zr As
3 4
Cartesian
0.0000 0.0000 0.0000
2.9733 0.0000 1.4728
8.6715 0.0000 4.5011
-0.5717 0.0000 4.7381
3.4082 0.0000 4.1976
8.2366 0.0000 1.7762
12.2166 0.0000 1.2358
```

Output
Size of the total moment   0.00 μB per atom
Crystal system   monoclinic
VASP energy   -7.13 eV/atom

Record 15
This record from the Open Quantum Materials Database describes an optimized crystal structure of CsLaLu. The functional is GGA-PBE.

The structure in POSCAR format:
```
CsLaLu
1.0
0.0000 4.2993 4.2993
4.2993 0.0000 4.2993
4.2993 4.2993 0.0000
Cs La Lu
1 1 1
Cartesian
0.0000 0.0000 0.0000
4.2993 4.2993 4.2993
2.1497 2.1497 2.1497
```

Output
Size of the total moment   1.02 μB per atom
Crystal system   cubic
Excess energy over the best structure of this formula in the dataset   0.0 meV/atom

Record 16
This record from the Open Quantum Materials Database describes an optimized crystal structure of CsTb2Cu3Se5. The functional is GGA-PBE.

The structure in POSCAR format:
```
CsTb2Cu3Se5
1.0
2.0730 -7.3449 0.0000
2.0730 7.3449 0.0000
0.0000 0.0000 17.4642
Cs Tb Cu Se
2 4 6 10
Cartesian
2.0730 6.4489 13.0982
2.0730 -6.4489 4.3661
2.0730 4.5237 1.5894
2.0730 4.5237 7.1427
2.0730 -4.5237 10.3215
2.0730 -4.5237 15.8748
2.0730 2.3181 13.0982
2.0730 1.2419 0.5300
2.0730 1.2419 8.2022
2.0730 -1.2419 9.2621
2.0730 -1.2419 16.9343
2.0730 -2.3181 4.3661
2.0730 4.8893 9.9640
2.0730 4.8893 16.2323
2.0730 3.8571 4.3661
2.0730 0.8819 10.6876
2.0730 0.8819 15.5088
2.0730 -0.8819 1.9554
2.0730 -0.8819 6.7767
2.0730 -3.8571 13.0982
2.0730 -4.8893 1.2319
2.0730 -4.8893 7.5002
```

Output
Size of the total moment   0.00 μB per atom
Crystal system   orthorhombic
VASP energy   -4.65 eV/atom

Record 17
This record from the Open Quantum Materials Database describes an optimized crystal structure of Dy3Er2Lu2Ni2Te2. The functional is GGA-PBE.

The structure in POSCAR format:
```
Dy3Er2Lu2Ni2Te2
1.0
-1.9129 7.7120 4.7542
1.9129 -7.7120 4.7542
1.9129 7.7120 -4.7542
Dy Er Lu Ni Te
3 2 2 2 2
Cartesian
0.0000 0.0000 0.0000
1.9129 5.6449 0.7747
0.0000 2.0671 5.5289
1.9129 -2.2706 2.1779
1.9129 2.2706 2.1779
1.9129 2.8524 -1.1573
0.0000 4.8596 3.5969
0.0000 3.6257 0.6534
0.0000 11.7982 0.6534
0.0000 0.0000 3.1943
0.0000 7.7120 2.2436
```

Output
Size of the total moment   0.00 μB per atom
Crystal system   orthorhombic
Excess energy over the best structure of this formula in the dataset   1.3 meV/atom

Record 18
This record from the Open Quantum Materials Database describes an optimized crystal structure of NaGeAu3S4. The functional is GGA-PBE.

The structure in POSCAR format:
```
NaGeAu3S4
1.0
6.1144 0.0000 0.0000
0.0000 7.2277 0.0000
-2.4977 0.0000 10.2808
Na Ge Au S
2 2 6 8
Cartesian
-0.4614 1.8069 4.0022
4.0782 5.4208 6.2786
-1.5263 1.8069 7.9645
5.1431 5.4208 2.3163
2.0442 3.9648 0.9898
2.0442 6.8768 0.9898
1.3430 1.8069 6.6595
2.2738 5.4208 3.6213
1.5725 0.3510 9.2910
1.5725 3.2629 9.2910
0.2183 5.4208 0.3520
0.0399 5.4208 4.3105
-0.2319 3.6605 7.8036
-0.2319 7.1811 7.8036
3.8487 0.0467 2.4772
3.8487 3.5672 2.4772
3.5769 1.8069 5.9702
3.3985 1.8069 9.9287
```

Output
Crystal system   monoclinic
Excess energy over the best structure of this formula in the dataset   0.0 meV/atom

Record 19
This record from the Open Quantum Materials Database describes an optimized crystal structure of PrAl2GaAg. The functional is GGA-PBE.

The structure in POSCAR format:
```
PrAl2GaAg
1.0
-2.1348 2.1348 5.6436
2.1348 -2.1348 5.6436
2.1348 2.1348 -5.6436
Pr Al Ga Ag
1 2 1 1
Cartesian
0.0000 0.0000 0.0000
2.1348 0.0000 2.6523
0.0000 2.1348 2.6523
0.0000 0.0000 6.6737
0.0000 0.0000 4.1135
```

Output
Size of the total moment   0.00 μB per atom
Crystal system   tetragonal
VASP energy   -4.10 eV/atom

Record 20
This record from the Open Quantum Materials Database describes an optimized crystal structure of MgPaAsO. The functional is GGA-PBE.

The structure in POSCAR format:
```
MgPaAsO
1.0
3.8254 0.0000 0.0000
0.0000 5.9763 0.0000
0.0000 0.0000 7.2194
Mg Pa As O
2 2 2 2
Cartesian
0.0000 0.7937 0.0000
0.0000 5.1826 3.6097
1.9127 2.5753 4.7507
1.9127 3.4011 1.1410
0.0000 1.6321 2.6158
0.0000 4.3442 6.2255
1.9127 1.5548 6.8637
1.9127 4.4215 3.2540
```

Output
Size of the total moment   0.32 μB per atom
Crystal system   orthorhombic
Excess energy over the best structure of this formula in the dataset   25.5 meV/atom

Record 21
This record from the Open Quantum Materials Database describes an optimized crystal structure of NdTe2PbAuSe. The functional is GGA-PBE.

The structure in POSCAR format:
```
NdTe2PbAuSe
1.0
2.1683 -7.4388 0.0000
2.1683 7.4388 0.0000
0.0000 0.0000 10.8477
Nd Te Pb Au Se
2 4 2 2 2
Cartesian
0.0000 0.0000 0.0000
0.0000 0.0000 5.4239
2.1683 2.2749 6.0754
2.1683 2.2749 10.1962
2.1683 -2.2749 0.6515
2.1683 -2.2749 4.7724
2.1683 3.6620 2.7119
2.1683 -3.6620 8.1358
2.1683 0.4036 8.1358
2.1683 -0.4036 2.7119
2.1683 6.1763 8.1358
2.1683 -6.1763 2.7119
```

Output
Size of the total moment   0.00 μB per atom
Crystal system   orthorhombic
VASP energy   -4.38 eV/atom

Record 22
This record from the Open Quantum Materials Database describes an optimized crystal structure of ScBeTlPt. The functional is GGA-PBE.

The structure in POSCAR format:
```
ScBeTlPt
1.0
0.0000 3.2596 3.2596
3.2596 0.0000 3.2596
3.2596 3.2596 0.0000
Sc Be Tl Pt
1 1 1 1
Cartesian
0.0000 0.0000 0.0000
1.6298 1.6298 1.6298
3.2596 3.2596 3.2596
4.8894 4.8894 4.8894
```

Output
Size of the total moment   0.00 μB per atom
Crystal system   cubic
Excess energy over the best structure of this formula in the dataset   23.6 meV/atom

Record 23
This record from the Open Quantum Materials Database describes an optimized crystal structure of Li2Ni. The functional is GGA-PBE.

The structure in POSCAR format:
```
Li2Ni
1.0
6.0832 0.0000 0.0000
0.0000 6.0832 0.0000
0.0000 0.0000 2.4318
Li Ni
4 2
Cartesian
1.4568 1.4568 0.0000
1.5848 4.4984 1.2159
4.4984 1.5848 1.2159
4.6264 4.6264 0.0000
0.0000 0.0000 1.2159
3.0416 3.0416 0.0000
```

Output
Size of the total moment   0.00 μB per atom
Crystal system   tetragonal
VASP energy   -2.88 eV/atom